PBE Pa2TaNb, optimized geometry; uncorrected energy = -9.886 eV per atom; ΔE to the lowest computed polymorph = 6 meV per atom; formation energy from the elements = 343 meV/atom
1.0
5.009 0.000 0.000
2.505 4.338 0.000
2.505 1.446 4.090
Nb Pa Ta
1 2 1
direct
0.000 0.000 0.000
0.250 0.250 0.250
0.750 0.750 0.750
0.500 0.500 0.500